#i
Tb2CeTh4: relaxed, PBE.

Cell lengths 5.580, 5.580, 16.458 Å; angles 90.00, 90.00, 90.00 degrees
Space group I4/mmm (No. 139)
Inequivalent atoms, fractional coordinates:
Tb 0.000 0.000 0.120 [4 per cell]
Ce 0.000 0.000 0.500 [2 per cell]
Th 0.000 0.000 0.324 [4 per cell]
Th 0.000 0.500 0.000 [4 per cell]


#ii
Tb2CeTh4: relaxed, PBE.

Cell lengths 3.537, 35.784, 3.526 Å; angles 90.00, 90.00, 90.00 degrees
Space group Cmmm (No. 65)
Inequivalent atoms, fractional coordinates:
Tb 0.000 0.207 0.000 [4 per cell]
Ce 0.000 0.500 0.500 [2 per cell]
Th 0.000 0.068 0.000 [4 per cell]
Th 0.000 0.362 0.500 [4 per cell]


#ii has the most favorable energy; the next structure is 676 meV/atom above.